No. 1
DFT (PBE-GGA) results for an optimized crystal structure of TaTl2Si.

The structure belongs to space group Amm2 (No. 38); the cell edges are 4.798, 3.226 and 11.180 Å and the angles 90.00°, 90.00° and 90.00°. The distinct sites, in fractional coordinates, are Ta at (0.000, 0.000, 0.000), Tl at (0.000, 0.000, 0.269), Tl at (0.500, 0.000, 0.619) and Si at (0.500, 0.000, 0.899).

As for the uncorrected formation energy: 0.489 eV/atom. For the offset from the most stable computed form, the calculation gives 209 meV/atom.



No. 2
DFT (PBE-GGA) results for an optimized crystal structure of LiYNiAg.

The structure belongs to space group F-43m (No. 216); the cell edges are 6.558, 6.558 and 6.558 Å and the angles 90.00°, 90.00° and 90.00°. The distinct sites, in fractional coordinates, are Li at (0.000, 0.000, 0.000), Y at (0.250, 0.250, 0.750), Ni at (0.000, 0.000, 0.500) and Ag at (0.250, 0.250, 0.250).

For the formation energy, the calculation gives -150 meV/atom.



No. 3
DFT (PBE-GGA) results for an optimized crystal structure of RbBeRe3.

The structure belongs to space group Pm-3m (No. 221); the cell edges are 4.679, 4.679 and 4.679 Å and the angles 90.00°, 90.00° and 90.00°. The distinct sites, in fractional coordinates, are Rb at (0.000, 0.000, 0.000), Be at (0.500, 0.500, 0.500) and Re at (0.000, 0.000, 0.500).

For the formation energy, the calculation gives 4397 meV/atom. For the offset from the most stable computed form, the calculation gives 2387 meV/atom.



No. 4
DFT (PBE-GGA) results for an optimized crystal structure of AlTePb2O6.

The structure belongs to space group R-3m (No. 166, hexagonal axes); the cell edges are 5.9247, 5.9247 and 28.2450 Å and the angles 90.00°, 90.00° and 120.00°. The distinct sites, in fractional coordinates, are Al at (0.0000, 0.0000, 0.0000), Al at (0.0000, 0.0000, 0.5000), Te at (0.0000, 0.0000, 0.0971), Pb at (0.0000, 0.0000, 0.2360), Pb at (0.0000, 0.0000, 0.3850), O at (0.0422, 0.5211, 0.2102) and O at (0.0437, 0.5218, 0.6219).

As for the uncorrected formation energy: -1.396 eV/atom.



No. 5
DFT (PBE-GGA) results for an optimized crystal structure of TlPtCl.

The structure belongs to space group Fmm2 (No. 42); the cell edges are 4.411, 5.750 and 11.041 Å and the angles 90.00°, 90.00° and 90.00°. The distinct sites, in fractional coordinates, are Tl at (0.000, 0.000, 0.000), Pt at (0.000, 0.000, 0.634) and Cl at (0.000, 0.000, 0.280).

As for the uncorrected formation energy: 0.122 eV/atom. For the offset from the most stable computed form, the calculation gives 132 meV/atom.



No. 6
DFT (PBE-GGA) results for an optimized crystal structure of Hf5AlCo6.

The structure belongs to space group Immm (No. 71); the cell edges are 4.398, 6.235 and 13.258 Å and the angles 90.00°, 90.00° and 90.00°. The distinct sites, in fractional coordinates, are Hf at (0.000, 0.000, 0.000), Hf at (0.000, 0.000, 0.342), Hf at (0.000, 0.500, 0.330), Al at (0.000, 0.500, 0.000), Co at (0.000, 0.249, 0.166) and Co at (0.000, 0.255, 0.500).

For the formation energy, the calculation gives -429 meV/atom.



No. 7
DFT (PBE-GGA) results for an optimized crystal structure of Mg3ScCu8.

The structure belongs to space group P3m1 (No. 156); the cell edges are 5.0226, 5.0226 and 8.0466 Å and the angles 90.00°, 90.00° and 120.00°. The distinct sites, in fractional coordinates, are Mg at (0.0000, 0.0000, 0.0000), Mg at (0.0000, 0.0000, 0.3717), Mg at (0.3333, 0.6667, 0.8857), Sc at (0.3333, 0.6667, 0.5008), Cu at (0.0039, 0.5019, 0.1901), Cu at (0.3268, 0.1634, 0.6894), Cu at (0.6667, 0.3333, 0.4405) and Cu at (0.6667, 0.3333, 0.9369).

For the formation energy, the calculation gives -178 meV/atom. For the offset from the most stable computed form, the calculation gives 2 meV/atom.



No. 8
DFT (PBE-GGA) results for an optimized crystal structure of Ba2InIrCl.

The structure belongs to space group P4/mmm (No. 123); the cell edges are 6.111, 6.111 and 5.123 Å and the angles 90.00°, 90.00° and 90.00°. The distinct sites, in fractional coordinates, are Ba at (0.000, 0.500, 0.000), In at (0.000, 0.000, 0.500), Ir at (0.000, 0.000, 0.000) and Cl at (0.500, 0.500, 0.500).

As for the uncorrected formation energy: -0.757 eV/atom.



No. 9
DFT (PBE-GGA) results for an optimized crystal structure of Tb4Ga2O.

The structure belongs to space group I4/mmm (No. 139); the cell edges are 4.579, 4.579 and 15.733 Å and the angles 90.00°, 90.00° and 90.00°. The distinct sites, in fractional coordinates, are Tb at (0.000, 0.000, 0.176), Tb at (0.000, 0.500, 0.000), Ga at (0.000, 0.000, 0.365) and O at (0.000, 0.000, 0.000).

As for the uncorrected formation energy: -1.159 eV/atom.



No. 10
DFT (PBE-GGA) results for an optimized crystal structure of HfZr2SnH.

The structure belongs to space group P4/mmm (No. 123); the cell edges are 4.415, 4.415 and 4.579 Å and the angles 90.00°, 90.00° and 90.00°. The distinct sites, in fractional coordinates, are Hf at (0.000, 0.000, 0.000), Zr at (0.000, 0.500, 0.500), Sn at (0.500, 0.500, 0.000) and H at (0.000, 0.000, 0.500).

For the offset from the most stable computed form, the calculation gives 0 meV/atom.



No. 11
DFT (PBE-GGA) results for an optimized crystal structure of TbHoAlTl.

The structure belongs to space group P4mm (No. 99); the cell edges are 3.631, 3.631 and 7.731 Å and the angles 90.00°, 90.00° and 90.00°. The distinct sites, in fractional coordinates, are Tb at (0.000, 0.000, 0.000), Ho at (0.000, 0.000, 0.529), Al at (0.500, 0.500, 0.762) and Tl at (0.500, 0.500, 0.268).

For the formation energy, the calculation gives -360 meV/atom. For the offset from the most stable computed form, the calculation gives 0 meV/atom.



No. 12
DFT (PBE-GGA) results for an optimized crystal structure of BiHPb2Au.

The structure belongs to space group P4/mmm (No. 123); the cell edges are 5.943, 5.943 and 3.518 Å and the angles 90.00°, 90.00° and 90.00°. The distinct sites, in fractional coordinates, are Bi at (0.000, 0.000, 0.000), H at (0.500, 0.500, 0.000), Pb at (0.000, 0.500, 0.500) and Au at (0.500, 0.500, 0.500).

For the offset from the most stable computed form, the calculation gives 0 meV/atom.



| no. | total DFT energy (no corrections) (eV for the cell shown) | calculated volume (Å³ per cell) |
| --- | --- | --- |
| 1 | -40.11 | 173 |
| 2 | -70.44 | 282 |
| 3 | -20.05 | 102 |
| 4 | -348.08 | 859 |
| 5 | -39.56 | 280 |
| 6 | -202.59 | 363 |
| 7 | -46.02 | 176 |
| 8 | -21.08 | 191 |
| 9 | -75.29 | 330 |
| 10 | -36.47 | 89 |
| 11 | -16.76 | 102 |
| 12 | -17.61 | 124 |